[1]
# Ac6CoPdPt2

A relaxed structure of Ac6CoPdPt2 (PBE, the Alexandria database).

Results
DFT formation energy: -0.627 eV/atom
SG: R3 (146)

Cell and atoms, written as POSCAR:
```
Ac6CoPdPt2
1.0
7.564 -0.003 0.001
3.780 6.550 0.001
3.782 2.183 7.002
Co Ac Pt Pd
1 6 2 1
Direct
0.328 0.327 0.018
0.933 0.582 0.246
0.724 0.103 0.759
0.102 0.414 0.759
0.582 0.239 0.246
0.414 0.725 0.759
0.239 0.932 0.246
0.004 0.004 0.988
0.508 0.508 0.475
0.827 0.827 0.519
```

[2]
# Tb2NdSe3

A relaxed structure of Tb2NdSe3 (PBE, the Alexandria database).

Results
SG: Immm (71)
Energy relative to the elements, uncorrected: -172.8 kJ per mole of atoms

Cell and atoms, written as POSCAR:
```
Tb2NdSe3
1.0
4.146 0.000 0.000
0.000 5.847 0.000
-2.073 -2.924 6.217
Se Tb Nd
3 2 1
Direct
0.825 0.325 0.151
0.175 0.675 0.849
0.500 0.000 0.500
0.161 0.161 0.822
0.839 0.839 0.178
0.500 0.500 0.500
```

[3]
# Tb6Pm4Ho

A relaxed structure of Tb6Pm4Ho (PBE, the Alexandria database).

Results
DFT formation energy: 0.427 eV/atom
SG: I-42m (121)

Cell and atoms, written as POSCAR:
```
Tb6Pm4Ho
1.0
-0.261 -6.706 -3.635
-0.565 -3.611 6.700
-6.193 5.591 -1.857
Tb Pm Ho
6 4 1
Direct
0.500 0.000 0.000
0.000 0.500 0.000
0.551 0.551 0.630
0.449 0.921 0.370
0.921 0.449 0.370
0.079 0.079 0.630
0.096 0.749 0.845
0.251 0.251 0.155
0.904 0.904 0.155
0.749 0.096 0.845
0.500 0.500 0.000
```

| no. | total magnetization (μB/f.u.) | V (Å³/cell) | electronic total energy (eV per formula unit) |
| --- | --- | --- | --- |
| 1 | 0.00 | 346.9 | -55.30 |
| 2 | 0.00 | 150.7 | -35.23 |
| 3 | 0.00 | 386.1 | -46.66 |